Below is a relaxed GeN crystal, with properties calculated at the GGA-PBE level.

As for the energy above the most stable polymorph in this dataset: 340 meV/atom. The volume is 55 Å³/cell. The crystal system is hexagonal. For the total magnetization, the calculation gives 0.00 μB per formula unit.

```
GeN
1.0
3.1003 0.0000 0.0000
-1.5502 2.6849 0.0000
0.0000 0.0000 6.6298
Ge N
2 2
direct
0.3333 0.6667 0.0000
0.6667 0.3333 0.5000
0.3333 0.6667 0.6278
0.6667 0.3333 0.1278
```

Below is a relaxed GeN crystal, with properties calculated at the GGA-PBE level.

As for the energy above the most stable polymorph in this dataset: 92 meV/atom. The volume is 80 Å³/cell. The crystal system is orthorhombic. For the total magnetization, the calculation gives 0.00 μB per formula unit.

```
GeN
1.0
-1.5485 4.8388 2.6611
1.5485 -4.8388 2.6611
1.5485 4.8388 -2.6611
Ge N
3 3
direct
0.0000 0.0000 0.0000
0.2946 0.4735 0.8211
0.6524 0.4735 0.1789
0.3671 0.3671 0.0000
0.3736 0.1261 0.2475
0.8786 0.1261 0.7525
```

Below is a relaxed GeN crystal, with properties calculated at the GGA-PBE level.

As for the energy above the most stable polymorph in this dataset: 264 meV/atom. The volume is 51 Å³/cell. The crystal system is orthorhombic. For the total magnetization, the calculation gives 0.00 μB per formula unit.

```
GeN
1.0
2.0353 -3.9979 0.0000
2.0353 3.9979 0.0000
0.0000 0.0000 3.1253
Ge N
2 2
direct
0.1510 0.8490 0.7500
0.8490 0.1510 0.2500
0.3009 0.6991 0.2500
0.6991 0.3009 0.7500
```